(1)
TbErTm2Sc4, optimized geometry, DFT GGA-PBE; formation enthalpy at 0 K = 0.446 eV/atom; space group = No. 15; calculated density = 6.11 Mg/m³; electronic total energy = -79.785 eV/cell; crystal system = monoclinic; size of the total moment = 4.15 μB per formula unit
1.0
6.473 -6.316 0.000
6.473 6.316 0.000
-3.242 0.000 5.610
Tb Er Tm Sc
2 2 4 8
direct
0.000 0.000 0.000
0.000 0.000 0.500
0.000 0.500 0.000
0.500 0.000 0.500
0.000 0.500 0.500
0.500 0.000 0.000
0.500 0.500 0.000
0.500 0.500 0.500
0.251 0.252 0.503
0.252 0.251 0.003
0.252 0.748 0.000
0.252 0.748 0.500
0.748 0.252 0.000
0.748 0.252 0.500
0.748 0.749 0.997
0.749 0.748 0.497

=====

(2)
ZnCu, optimized geometry, DFT GGA-PBE; formation enthalpy at 0 K = 0.203 eV/atom; space group = No. 136; calculated density = 7.17 Mg/m³; electronic total energy = -19.853 eV/cell; crystal system = tetragonal; size of the total moment = 0.00 μB per formula unit
1.0
4.878 0.000 0.000
0.000 4.878 0.000
0.000 0.000 5.018
Zn Cu
4 4
direct
0.186 0.186 0.000
0.314 0.686 0.500
0.686 0.314 0.500
0.814 0.814 0.000
0.182 0.182 0.500
0.318 0.682 0.000
0.682 0.318 0.000
0.818 0.818 0.500

=====

Question: Which value of size of the total moment does entry 1 give?
Answer: 4.15 μB per formula unit